Entry 1:
# LaDy5Y6

A relaxed structure of LaDy5Y6 (PBE-GGA, the Alexandria database).

The structure in CIF format:
```
data_LaDy5Y6
_chemical_formula_sum 'La2 Dy10 Y12'
_cell_length_a 6.1933
_cell_length_b 10.7213
_cell_length_c 11.8441
_cell_angle_alpha 90.00
_cell_angle_beta 100.00
_cell_angle_gamma 90.00
_symmetry_space_group_name_H-M 'C 1 2/m 1'
_symmetry_Int_Tables_number 12
loop_
_symmetry_equiv_pos_as_xyz
'x,y,z'
'-x,-y,-z'
'-x,y,-z'
'x,-y,z'
'x+1/2,y+1/2,z'
'-x+1/2,-y+1/2,-z'
'-x+1/2,y+1/2,-z'
'x+1/2,-y+1/2,z'
loop_
_atom_site_label
_atom_site_type_symbol
_atom_site_fract_x
_atom_site_fract_y
_atom_site_fract_z
_atom_site_occupancy
La1 La 0.0000 0.0000 0.0000 1
Dy1 Dy 0.0000 0.1670 0.5000 1
Dy2 Dy 0.0000 0.3334 0.0000 1
Dy3 Dy 0.0000 0.5000 0.5000 1
Y1 Y 0.2493 0.3327 0.7477 1
Y2 Y 0.2488 0.5000 0.2523 1
```

Calculated values
- ΔE_f: 2 kJ/mol of atoms
- D(E_F): 17.02 states/eV/f.u.
- Total magnetic moment: 0.000 μB/cell
- Offset from the most stable computed form: 0.0000 eV per atom

***

Entry 2:
# La5Dy4Y2

A relaxed structure of La5Dy4Y2 (PBE-GGA, the Alexandria database).

The structure in CIF format:
```
data_La5Dy4Y2
_chemical_formula_sum 'La10 Dy8 Y4'
_cell_length_a 3.5491
_cell_length_b 9.2323
_cell_length_c 23.9825
_cell_angle_alpha 90.00
_cell_angle_beta 90.00
_cell_angle_gamma 90.00
_symmetry_space_group_name_H-M 'I m m m'
_symmetry_Int_Tables_number 71
_symmetry_space_group_name_Hall '-I 2 2'
loop_
_atom_site_label
_atom_site_type_symbol
_atom_site_fract_x
_atom_site_fract_y
_atom_site_fract_z
_atom_site_occupancy
La1 La 0.0000 0.0000 0.0000 1
La2 La 0.0000 0.3022 0.3545 1
Dy1 Dy 0.0000 0.1844 0.5000 1
Dy2 Dy 0.0000 0.5000 0.0965 1
Y1 Y 0.0000 0.5000 0.2304 1
```

Calculated values
- ΔE_f: 17 kJ/mol of atoms
- D(E_F): 18.20 states/eV/f.u.
- Total magnetic moment: 0.000 μB/cell
- Offset from the most stable computed form: 0.0556 eV per atom

***

Entry 3:
# La8Dy2Y

A relaxed structure of La8Dy2Y (PBE-GGA, the Alexandria database).

The structure in CIF format:
```
data_La8Dy2Y
_chemical_formula_sum 'La16 Dy4 Y2'
_cell_length_a 18.7308
_cell_length_b 5.2308
_cell_length_c 8.2416
_cell_angle_alpha 90.00
_cell_angle_beta 105.20
_cell_angle_gamma 90.00
_symmetry_space_group_name_H-M 'C 1 2/m 1'
_symmetry_Int_Tables_number 12
loop_
_symmetry_equiv_pos_as_xyz
'x,y,z'
'-x,-y,-z'
'-x,y,-z'
'x,-y,z'
'x+1/2,y+1/2,z'
'-x+1/2,-y+1/2,-z'
'-x+1/2,y+1/2,-z'
'x+1/2,-y+1/2,z'
loop_
_atom_site_label
_atom_site_type_symbol
_atom_site_fract_x
_atom_site_fract_y
_atom_site_fract_z
_atom_site_occupancy
La1 La 0.0472 0.0000 0.2264 1
La2 La 0.0919 0.5000 0.9546 1
La3 La 0.1378 0.0000 0.6861 1
La4 La 0.1819 0.5000 0.4119 1
Dy1 Dy 0.2267 0.0000 0.1345 1
Y1 Y 0.0000 0.5000 0.5000 1
```

Calculated values
- ΔE_f: 2 kJ/mol of atoms
- D(E_F): 19.43 states/eV/f.u.
- Total magnetic moment: 0.000 μB/cell
- Offset from the most stable computed form: 0.0000 eV per atom

***

Entry 4:
# La6Dy4Y

A relaxed structure of La6Dy4Y (PBE-GGA, the Alexandria database).

The structure in CIF format:
```
data_La6Dy4Y
_chemical_formula_sum 'La12 Dy8 Y2'
_cell_length_a 7.0113
_cell_length_b 7.0113
_cell_length_c 15.9783
_cell_angle_alpha 90.00
_cell_angle_beta 90.00
_cell_angle_gamma 90.00
_symmetry_space_group_name_H-M 'I -4 2 m'
_symmetry_Int_Tables_number 121
_symmetry_space_group_name_Hall 'I -4 2'
loop_
_atom_site_label
_atom_site_type_symbol
_atom_site_fract_x
_atom_site_fract_y
_atom_site_fract_z
_atom_site_occupancy
La1 La 0.0000 0.5000 0.0000 1
La2 La 0.1937 0.1937 0.1827 1
Dy1 Dy 0.1684 0.1684 0.3978 1
Y1 Y 0.0000 0.0000 0.0000 1
```

Calculated values
- ΔE_f: 27 kJ/mol of atoms
- D(E_F): 17.47 states/eV/f.u.
- Total magnetic moment: 0.000 μB/cell

***

Entry 5:
# La5Dy8Y

A relaxed structure of La5Dy8Y (PBE-GGA, the Alexandria database).

The structure in CIF format:
```
data_La5Dy8Y
_chemical_formula_sum 'La10 Dy16 Y2'
_cell_length_a 17.5664
_cell_length_b 3.5662
_cell_length_c 17.0391
_cell_angle_alpha 90.00
_cell_angle_beta 118.32
_cell_angle_gamma 90.00
_symmetry_space_group_name_H-M 'C 1 2/m 1'
_symmetry_Int_Tables_number 12
loop_
_symmetry_equiv_pos_as_xyz
'x,y,z'
'-x,-y,-z'
'-x,y,-z'
'x,-y,z'
'x+1/2,y+1/2,z'
'-x+1/2,-y+1/2,-z'
'-x+1/2,y+1/2,-z'
'x+1/2,-y+1/2,z'
loop_
_atom_site_label
_atom_site_type_symbol
_atom_site_fract_x
_atom_site_fract_y
_atom_site_fract_z
_atom_site_occupancy
La1 La 0.0000 0.0000 0.0000 1
La2 La 0.1438 0.5000 0.9393 1
La3 La 0.2135 0.5000 0.6445 1
Dy1 Dy 0.0754 0.0000 0.7206 1
Dy2 Dy 0.0806 0.5000 0.2236 1
Dy3 Dy 0.1458 0.0000 0.4389 1
Dy4 Dy 0.2171 0.0000 0.1462 1
Y1 Y 0.0000 0.5000 0.5000 1
```

Calculated values
- ΔE_f: 6 kJ/mol of atoms
- D(E_F): 22.16 states/eV/f.u.
- Total magnetic moment: 0.000 μB/cell

***

Entry 6:
# La2DyY3

A relaxed structure of La2DyY3 (PBE-GGA, the Alexandria database).

The structure in CIF format:
```
data_La2DyY3
_chemical_formula_sum 'La8 Dy4 Y12'
_cell_length_a 9.0723
_cell_length_b 10.0000
_cell_length_c 9.1145
_cell_angle_alpha 90.00
_cell_angle_beta 101.09
_cell_angle_gamma 90.00
_symmetry_space_group_name_H-M 'C 1 2/c 1'
_symmetry_Int_Tables_number 15
loop_
_symmetry_equiv_pos_as_xyz
'x,y,z'
'-x,-y,-z'
'-x,y,-z+1/2'
'x,-y,z+1/2'
'x+1/2,y+1/2,z'
'-x+1/2,-y+1/2,-z'
'-x+1/2,y+1/2,-z+1/2'
'x+1/2,-y+1/2,z+1/2'
loop_
_atom_site_label
_atom_site_type_symbol
_atom_site_fract_x
_atom_site_fract_y
_atom_site_fract_z
_atom_site_occupancy
La1 La 0.1252 0.2497 0.1250 1
Dy1 Dy 0.0000 0.0838 0.7500 1
Y1 Y 0.0000 0.4162 0.7500 1
Y2 Y 0.2485 0.0828 0.4998 1
```

Calculated values
- ΔE_f: 6 kJ/mol of atoms
- D(E_F): 9.84 states/eV/f.u.
- Total magnetic moment: 0.000 μB/cell